PBE TbNdDy2Ho4, optimized geometry; total energy = -66.85 eV/cell; E_form = 3.5 eV/f.u.
1.0
6.783 -6.624 0.000
6.783 6.624 0.000
-3.394 0.000 5.876
Tb Nd Dy Ho
2 2 4 8
Cartesian
0.000 0.000 0.000
-1.697 0.000 2.938
3.392 3.312 0.000
1.695 -3.312 2.938
1.695 3.312 2.938
3.392 -3.312 0.000
6.783 0.000 0.000
5.086 0.000 2.938
1.695 0.018 2.951
5.081 3.305 2.946
3.395 3.305 5.868
3.392 -0.018 0.013
6.781 0.018 5.863
6.778 -3.305 0.008
5.092 -3.305 2.930
8.477 -0.018 2.925


PBE CsLi2NbF8, optimized geometry; total energy = -64.32 eV/cell; formation energy from raw total energies = -2.8829 eV/atom
1.0
2.783 1.607 7.731
-2.783 1.607 7.731
0.000 -3.214 7.731
Cs Li Nb F
1 2 1 8
Cartesian
0.000 0.000 0.000
0.000 0.000 6.090
0.000 0.000 17.104
0.000 0.000 11.597
-1.376 -0.794 10.492
0.000 0.000 7.813
0.000 -1.588 12.702
-1.376 0.794 12.702
1.376 -0.794 10.492
0.000 1.588 10.492
0.000 0.000 15.381
1.376 0.794 12.702


PBE NaTl6Pd8, optimized geometry; total energy = -57.89 eV/cell; E_form = -0.8 eV/f.u.
1.0
4.086 2.359 5.485
-4.086 2.359 5.485
0.000 -4.718 5.485
Na Tl Pd
1 6 8
Cartesian
0.000 0.000 0.000
-1.137 -1.957 6.702
-2.263 0.006 9.752
-1.126 1.963 6.702
1.126 -1.963 9.752
2.263 -0.006 6.702
1.137 1.957 9.752
-3.090 0.012 7.145
-1.556 -2.670 9.308
0.000 0.000 4.994
1.534 -2.682 7.145
-1.534 2.682 9.308
0.000 0.000 11.459
1.556 2.670 7.145
3.090 -0.012 9.308


PBE DyScCdIr, optimized geometry; total energy = -22.91 eV/cell; E_form = -2.2 eV/f.u.
1.0
0.000 3.467 3.467
3.467 0.000 3.467
3.467 3.467 0.000
Dy Sc Cd Ir
1 1 1 1
Cartesian
0.000 0.000 0.000
3.467 3.467 3.467
1.733 1.733 1.733
5.200 5.200 5.200